DFT (PBE) results for a geometry-optimized Cu2HgTeI8 structure.

Its uncorrected formation energy is -0.14 eV/atom. For the energy, the calculation gives -51.35 eV for the cell shown.

The space group is C2/m (No. 12) and the conventional cell measures 14.737, 8.528 and 7.560 Å, with angles of 90.00, 100.30 and 90.00 degrees. The distinct sites, in fractional coordinates, are Cu at (0.171, 0.000, 0.072), Hg at (0.000, 0.000, 0.500), Te at (0.000, 0.500, 0.000), I at (0.104, 0.239, 0.227), I at (0.153, 0.500, 0.781) and I at (0.165, 0.000, 0.726).



DFT (PBE) results for a geometry-optimized Tm2PuSnC structure.

As for the energy of formation: -0.50 eV/atom. For the energy, the calculation gives -39.00 eV for the cell shown.

The space group is P4/mmm (No. 123) and the conventional cell measures 4.853, 4.853 and 4.786 Å, with angles of 90.00, 90.00 and 90.00 degrees. The distinct sites, in fractional coordinates, are Tm at (0.000, 0.500, 0.000), Pu at (0.000, 0.000, 0.500), Sn at (0.500, 0.500, 0.500) and C at (0.000, 0.000, 0.000).



DFT (PBE) results for a geometry-optimized Ba2NaTeO6 structure.

Its uncorrected formation energy is -1.93 eV/atom. For the energy, the calculation gives -229.29 eV for the cell shown.

The space group is Fm-3m (No. 225) and the conventional cell measures 8.517, 8.517 and 8.517 Å, with angles of 90.00, 90.00 and 90.00 degrees. The distinct sites, in fractional coordinates, are Ba at (0.250, 0.250, 0.250), Na at (0.000, 0.000, 0.000), Te at (0.000, 0.000, 0.500) and O at (0.000, 0.000, 0.272).



DFT (PBE) results for a geometry-optimized Y2CrCl structure.

The relative energy among the computed polymorphs comes out at 0.773 eV per atom. Its uncorrected formation energy is 0.30 eV/atom. For the energy, the calculation gives -92.72 eV for the cell shown.

The space group is Fm-3m (No. 225) and the conventional cell measures 7.079, 7.079 and 7.079 Å, with angles of 90.00, 90.00 and 90.00 degrees. The distinct sites, in fractional coordinates, are Y at (0.250, 0.250, 0.250), Cr at (0.000, 0.000, 0.000) and Cl at (0.000, 0.000, 0.500).



DFT (PBE) results for a geometry-optimized CsMgSbF6 structure.

Its uncorrected formation energy is -2.85 eV/atom. For the energy, the calculation gives -43.44 eV for the cell shown.

The space group is P1 (No. 1) and the conventional cell measures 5.727, 5.771 and 6.286 Å, with angles of 89.87, 89.63 and 60.37 degrees. The distinct sites, in fractional coordinates, are Cs at (0.000, 0.000, 0.000), Mg at (0.334, 0.331, 0.474), Sb at (0.667, 0.667, 0.507), F at (0.047, 0.314, 0.641), F at (0.316, 0.631, 0.644), F at (0.432, 0.991, 0.294), F at (0.581, 0.429, 0.296), F at (0.630, 0.053, 0.646) and F at (0.996, 0.577, 0.295).



DFT (PBE) results for a geometry-optimized NpO4F structure.

Its uncorrected formation energy is -1.80 eV/atom. For the energy, the calculation gives -90.91 eV for the cell shown.

The space group is P-1 (No. 2) and the conventional cell measures 6.178, 6.187 and 6.534 Å, with angles of 90.16, 116.05 and 95.45 degrees. The distinct sites, in fractional coordinates, are Np at (0.000, 0.000, 0.000), Np at (0.500, 0.500, 0.000), O at (0.045, 0.091, 0.276), O at (0.252, 0.251, 0.006), O at (0.287, 0.566, 0.724), O at (0.299, 0.756, 0.103) and F at (0.416, 0.767, 0.352).



DFT (PBE) results for a geometry-optimized ZrCu2Au structure.

The relative energy among the computed polymorphs comes out at 0.327 eV per atom. As for the energy of formation: 0.07 eV/atom. For the energy, the calculation gives -59.27 eV for the cell shown.

The space group is R-3m (No. 166, hexagonal axes) and the conventional cell measures 2.9593, 2.9593 and 26.4276 Å, with angles of 90.00, 90.00 and 120.00 degrees. The distinct sites, in fractional coordinates, are Zr at (0.0000, 0.0000, 0.0000), Cu at (0.0000, 0.0000, 0.2468) and Au at (0.0000, 0.0000, 0.5000).



DFT (PBE) results for a geometry-optimized BeFeRe2 structure.

As for the energy of formation: 0.18 eV/atom. For the energy, the calculation gives -72.74 eV for the cell shown.

The space group is Cmm2 (No. 35) and the conventional cell measures 3.051, 4.279 and 7.883 Å, with angles of 90.00, 90.00 and 90.00 degrees. The distinct sites, in fractional coordinates, are Be at (0.000, 0.000, 0.000), Fe at (0.000, 0.500, 0.785), Re at (0.000, 0.000, 0.524) and Re at (0.000, 0.500, 0.239).